# 1
Computed, not measured: crystalline Li5H2Pd3 at its relaxed geometry at the PBE-GGA level of DFT.

## Properties
- Mass density: 4.80 g cm⁻³
- Space group: Ibam
- Uncorrected energy: -35.2 eV per formula unit

a = 5.5354 Å, b = 7.3922 Å, c = 7.3922 Å
α = 65.44°, β = 68.01°, γ = 68.01°
Last column: nearest neighbours and their distance in Å.
Fractional coordinates of all 20 atoms:
Li: 0.2500 0.5000 0.5000  4 Pd 2.74, 8 Li 2.77-2.87
Li: 0.7500 0.5000 0.5000  4 Pd 2.74, 8 Li 2.77-2.87
Li: 0.4925 0.7575 0.7575  2 H 2.07
Li: 0.0075 0.2425 0.2425  2 H 2.07
Li: 0.5075 0.2425 0.2425  2 H 2.07
Li: 0.9925 0.7575 0.7575  2 H 2.07
Li: 0.1154 0.6379 0.1313  1 H 2.31
Li: 0.8846 0.3621 0.8687  1 H 2.31
Li: 0.6154 0.1313 0.6379  1 H 2.31
Li: 0.3846 0.8687 0.3621  1 H 2.31
H: 0.1077 0.9348 0.8498  3 Pd 1.84-1.86
H: 0.8923 0.0652 0.1502  3 Pd 1.84-1.86
H: 0.6077 0.8498 0.9348  3 Pd 1.84-1.86
H: 0.3923 0.1502 0.0652  3 Pd 1.84-1.86
Pd: 0.2500 0.0000 0.0000  4 H 1.86
Pd: 0.7500 0.0000 0.0000  4 H 1.86
Pd: 0.3655 0.4048 0.8643  1 H 1.84
Pd: 0.6345 0.5952 0.1357  1 H 1.84
Pd: 0.8655 0.8643 0.4048  1 H 1.84
Pd: 0.1345 0.1357 0.5952  1 H 1.84


# 2
Computed, not measured: crystalline La6Al2Pb at its relaxed geometry at the PBE-GGA level of DFT.

## Properties
- Formation enthalpy at 0 K: -0.302 eV per atom
- Mass density: 6.18 g cm⁻³
- Space group: Immm
- Uncorrected energy: -43.5 eV per formula unit

a = 9.1696 Å, b = 9.1696 Å, c = 9.1696 Å
α = 103.38°, β = 113.23°, γ = 111.97°
Last column: nearest neighbours and their distance in Å.
Fractional coordinates of all 18 atoms:
La: 0.5253 0.7184 0.8068  3 Al 3.26-3.36, 1 Pb 3.48
La: 0.4747 0.2816 0.1932  3 Al 3.26-3.36, 1 Pb 3.48
La: 0.0884 0.2816 0.8068  3 Al 3.26-3.36, 1 Pb 3.48
La: 0.9116 0.7184 0.1932  3 Al 3.26-3.36, 1 Pb 3.48
La: 0.7977 0.7576 0.5553  2 Al 3.20-3.40, 2 Pb 3.43-3.57
La: 0.2023 0.2424 0.4447  2 Al 3.20-3.40, 2 Pb 3.43-3.57
La: 0.2023 0.7576 0.9600  2 Al 3.20-3.40, 2 Pb 3.43-3.57
La: 0.7977 0.2424 0.0400  2 Al 3.20-3.40, 2 Pb 3.43-3.57
La: 0.7120 0.3911 0.6792  3 Al 3.17-3.28
La: 0.2880 0.6089 0.3208  3 Al 3.17-3.28
La: 0.2880 0.9672 0.6792  3 Al 3.17-3.28
La: 0.7120 0.0328 0.3208  3 Al 3.17-3.28
Al: 0.5000 0.3826 0.8826  1 Al 2.67
Al: 0.5000 0.6174 0.1174  1 Al 2.67
Al: 0.6363 0.0000 0.6363  1 Al 2.75
Al: 0.3637 0.0000 0.3637  1 Al 2.75
Pb: 0.0000 0.5000 0.5000  12 La 3.57-3.82
Pb: 0.0000 0.0000 0.0000  8 La 3.43-3.48, 2 Al 3.67


# 3
Computed, not measured: crystalline K5Pt4 at its relaxed geometry at the PBE-GGA level of DFT.

## Properties
- Formation enthalpy at 0 K: 0.281 eV per atom
- Mass density: 6.77 g cm⁻³
- Energy relative to the lowest polymorph listed for this composition: 197 meV/atom
- Space group: I4/mmm
- Uncorrected energy: -27.1 eV per formula unit

a = 7.6283 Å, b = 7.6283 Å, c = 7.6283 Å
α = 95.00°, β = 95.00°, γ = 145.64°
Last column: nearest neighbours and their distance in Å.
Fractional coordinates of all 9 atoms:
K: 0.0000 0.0000 0.0000  8 K 3.46, 4 Pt 3.85
K: 0.3196 0.3196 0.6393  2 K 3.03, 2 Pt 3.34
K: 0.3196 0.6804 0.0000  2 K 3.03, 2 Pt 3.34
K: 0.6804 0.3196 0.0000  2 K 3.03, 2 Pt 3.34
K: 0.6804 0.6804 0.3607  2 K 3.03, 2 Pt 3.34
Pt: 0.0000 0.3740 0.3740  5 Pt 2.60-2.91
Pt: 0.0000 0.6260 0.6260  5 Pt 2.60-2.91
Pt: 0.3740 0.0000 0.3740  5 Pt 2.60-2.91
Pt: 0.6260 0.0000 0.6260  5 Pt 2.60-2.91